meta-GGA SCAN Be3BiPt, single point on PBEsol structure; total moment = 0.00 μB per cell; crystal system = cubic; energy of formation = 1.58 eV per atom
1.0
4.545 0.000 0.000
0.000 4.545 0.000
0.000 0.000 4.545
Be Bi Pt
3 1 1
direct
0.000 0.000 0.500
0.000 0.500 0.000
0.500 0.000 0.000
0.000 0.000 0.000
0.500 0.500 0.500

---

meta-GGA SCAN RbBe2SiBi, single point on PBEsol structure; total moment = 0.00 μB per cell; crystal system = tetragonal; formation energy from raw total energies = 2286.4 meV/atom
1.0
5.001 0.000 0.000
0.000 5.001 0.000
0.000 0.000 5.387
Rb Be Si Bi
1 2 1 1
direct
0.000 0.000 0.000
0.000 0.500 0.000
0.500 0.000 0.000
0.000 0.000 0.500
0.500 0.500 0.500

---

meta-GGA SCAN BeSnBi2Rh, single point on PBEsol structure; total moment = 0.00 μB per cell; crystal system = tetragonal; energy of formation = 0.72 eV per atom
1.0
5.268 0.000 0.000
0.000 5.268 0.000
0.000 0.000 4.967
Be Sn Bi Rh
1 1 2 1
direct
0.000 0.000 0.000
0.500 0.500 0.000
0.000 0.500 0.500
0.500 0.000 0.500
0.500 0.500 0.500

---

meta-GGA SCAN Be2BiS2, single point on PBEsol structure; total moment = 0.00 μB per cell; crystal system = tetragonal; formation energy from raw total energies = 371.4 meV/atom
1.0
7.452 0.000 0.000
0.000 7.452 0.000
0.000 0.000 3.113
Be Bi S
4 2 4
direct
0.098 0.402 0.000
0.402 0.902 0.000
0.598 0.098 0.000
0.902 0.598 0.000
0.000 0.000 0.500
0.500 0.500 0.500
0.133 0.633 0.500
0.367 0.133 0.500
0.633 0.867 0.500
0.867 0.367 0.500